Record 1
Compound: LaGdCdPb
Source: Alexandria via LeMat-Bulk
Functional: PBE
Structure: relaxed

Cell and atoms, written as CIF:
```
data_LaGdCdPb
_symmetry_space_group_name_H-M 'P 1'
_symmetry_Int_Tables_number 1
_cell_length_a 5.5128
_cell_length_b 5.5128
_cell_length_c 5.5128
_cell_angle_alpha 60.00
_cell_angle_beta 60.00
_cell_angle_gamma 60.00
loop_
_symmetry_equiv_pos_as_xyz
'x,y,z'
loop_
_atom_site_label
_atom_site_type_symbol
_atom_site_fract_x
_atom_site_fract_y
_atom_site_fract_z
Gd1 Gd 0.7500 0.7500 0.7500
La1 La 0.2500 0.2500 0.2500
Pb1 Pb 0.5000 0.5000 0.5000
Cd1 Cd 0.0000 0.0000 0.0000
```

---

Record 2
Compound: LaGdCdPd
Source: Alexandria via LeMat-Bulk
Functional: PBE
Structure: relaxed

Cell and atoms, written as CIF:
```
data_LaGdCdPd
_symmetry_space_group_name_H-M 'P 1'
_symmetry_Int_Tables_number 1
_cell_length_a 5.2845
_cell_length_b 5.2845
_cell_length_c 5.2845
_cell_angle_alpha 60.00
_cell_angle_beta 60.00
_cell_angle_gamma 60.00
loop_
_symmetry_equiv_pos_as_xyz
'x,y,z'
loop_
_atom_site_label
_atom_site_type_symbol
_atom_site_fract_x
_atom_site_fract_y
_atom_site_fract_z
La1 La 0.5000 0.5000 0.5000
Gd1 Gd 0.0000 0.0000 0.0000
Pd1 Pd 0.2500 0.2500 0.2500
Cd1 Cd 0.7500 0.7500 0.7500
```

---

Record 3
Compound: LaPmGdCd
Source: Alexandria via LeMat-Bulk
Functional: PBE
Structure: relaxed

Cell and atoms, written as CIF:
```
data_LaPmGdCd
_symmetry_space_group_name_H-M 'P 1'
_symmetry_Int_Tables_number 1
_cell_length_a 5.6036
_cell_length_b 5.6036
_cell_length_c 5.6036
_cell_angle_alpha 60.00
_cell_angle_beta 60.00
_cell_angle_gamma 60.00
loop_
_symmetry_equiv_pos_as_xyz
'x,y,z'
loop_
_atom_site_label
_atom_site_type_symbol
_atom_site_fract_x
_atom_site_fract_y
_atom_site_fract_z
Gd1 Gd 0.0000 0.0000 0.0000
Cd1 Cd 0.7500 0.7500 0.7500
Pm1 Pm 0.2500 0.2500 0.2500
La1 La 0.5000 0.5000 0.5000
```

---

Number 1: magnetic moment 7.343 μB per formula unit, ΔE_f -0.45 eV/atom. Number 2: magnetic moment 7.230 μB per formula unit, ΔE_f -0.49 eV/atom. Number 3: magnetic moment 8.327 μB per formula unit, ΔE_f -0.03 eV/atom.